Computed, not measured: a relaxed structure of Tc2TeMo at the PBE-GGA level of DFT.

Results
The total energy comes out at -8.245 eV per atom. The total moment comes out at 1.62 μB/f.u. As for the symmetry: No. 216.

Cell: 4.514 4.514 4.514 Å, 60.00 60.00 60.00°
Each line ends with the local moment (μB).
Fractional coordinates of all 4 atoms:
Tc (0.250, 0.250, 0.250)  1.29
Tc (0.000, 0.000, 0.000)  0.08
Te (0.750, 0.750, 0.750)  0.07
Mo (0.500, 0.500, 0.500)  -0.01



Computed, not measured: a relaxed structure of TlBiMo at the PBE-GGA level of DFT.

Results
The total energy comes out at -4.540 eV per atom. The total moment comes out at 3.15 μB/f.u. The calculation puts the excess energy over the best structure of this formula in the dataset at 0 meV per atom. As for the symmetry: No. 216.

Cell: 5.062 5.062 5.062 Å, 60.00 60.00 60.00°
Fractional coordinates of all 3 atoms:
Bi (0.000, 0.000, 0.000)
Mo (0.250, 0.250, 0.250)
Tl (0.750, 0.750, 0.750)